Below is a crystal of LaTl2Zn relaxed with PBEsol, with properties calculated at the meta-GGA SCAN level.

abc: 4.6413 4.6413 4.6762
angles: 90.00 90.00 90.00
Fractional positions:
Zn  0.5000  0.5000  0.5000
Tl  0.0000  0.5000  0.0000
Tl  0.5000  0.0000  0.0000
La  0.0000  0.0000  0.5000

## Properties
V	25.2	Å³/atom
space-group type	P4/mmm (123)
E	-50.6846	eV/atom



Below is a crystal of KIr2Cl relaxed with PBEsol, with properties calculated at the meta-GGA SCAN level.

abc: 2.7475 3.9022 8.0465
angles: 90.00 90.00 90.00
Fractional positions:
K  0.0000  0.0000  0.5097
Ir  0.5000  0.5000  0.1797
Ir  0.0000  0.0000  0.0812
Cl  0.5000  0.5000  0.7294

## Properties
V	21.6	Å³/atom
space-group type	Pmm2 (25)
formation energy from raw total energies	-0.032	eV per atom
E	-39.6586	eV/atom



Below is a crystal of LaFeTeO6 relaxed with PBEsol, with properties calculated at the meta-GGA SCAN level.

abc: 5.0903 5.0903 10.3613
angles: 90.00 90.00 120.00
Each line ends with the local moment (μB).
Fractional positions:
La  0.0000  0.0000  0.0000  0.00
La  0.0000  0.0000  0.5000  0.00
O  0.6245  0.6340  0.3535  0.01
O  0.6340  0.6245  0.8535  0.01
O  0.3660  0.9904  0.3535  0.01
O  0.6340  0.0096  0.6465  0.01
O  0.3755  0.3660  0.6465  0.01
O  0.9904  0.3660  0.8535  0.01
O  0.3660  0.3755  0.1465  0.01
O  0.9904  0.6245  0.6465  0.01
O  0.6245  0.9904  0.1465  0.01
O  0.3755  0.0096  0.8535  0.01
O  0.0096  0.3755  0.3535  0.01
O  0.0096  0.6340  0.1465  0.01
Fe  0.6667  0.3333  0.7500  0.94
Fe  0.3333  0.6667  0.2500  0.94
Te  0.6667  0.3333  0.2500  -0.02
Te  0.3333  0.6667  0.7500  -0.02

## Properties
V	12.9	Å³/atom
space-group type	P-31c (163)
formation energy from raw total energies	-2.068	eV per atom
E	-17.1652	eV/atom



Below is a crystal of Si2SnSb relaxed with PBEsol, with properties calculated at the meta-GGA SCAN level.

abc: 4.8736 4.8736 4.8736
angles: 60.00 60.00 60.00
Fractional positions:
Si  0.2500  0.2500  0.2500
Si  0.7500  0.7500  0.7500
Sb  0.5000  0.5000  0.5000
Sn  0.0000  0.0000  0.0000

## Properties
V	20.5	Å³/atom
space-group type	Fm-3m (225)
formation energy from raw total energies	0.684	eV per atom
E	-22.6194	eV/atom



Below is a crystal of Li3BS3 relaxed with PBEsol, with properties calculated at the meta-GGA SCAN level.

abc: 6.1011 8.0840 9.9625
angles: 90.00 90.00 90.00
Fractional positions:
B  0.3800  0.6165  0.7500
B  0.1200  0.1165  0.7500
B  0.6200  0.3835  0.2500
B  0.8800  0.8835  0.2500
Li  0.5976  0.6720  0.9923
Li  0.5516  0.9919  0.7500
Li  0.9024  0.1720  0.9923
Li  0.0976  0.8280  0.0077
Li  0.9484  0.4919  0.7500
Li  0.4024  0.3280  0.4923
Li  0.4024  0.3280  0.0077
Li  0.0516  0.5081  0.2500
Li  0.9024  0.1720  0.5077
Li  0.0976  0.8280  0.4923
Li  0.4484  0.0081  0.2500
Li  0.5976  0.6720  0.5077
S  0.2622  0.0745  0.5921
S  0.8416  0.2005  0.7500
S  0.2622  0.0745  0.9079
S  0.3416  0.2995  0.2500
S  0.6584  0.7005  0.7500
S  0.7378  0.9255  0.0921
S  0.2378  0.5745  0.9079
S  0.7622  0.4255  0.0921
S  0.2378  0.5745  0.5921
S  0.1584  0.7995  0.2500
S  0.7378  0.9255  0.4079
S  0.7622  0.4255  0.4079

## Properties
V	17.5	Å³/atom
space-group type	Pnma (62)
formation energy from raw total energies	-1.190	eV per atom
E	-7.4015	eV/atom



Below is a crystal of FeRe2O6 relaxed with PBEsol, with properties calculated at the meta-GGA SCAN level.

abc: 4.6478 4.6478 8.3107
angles: 90.00 90.00 90.00
Each line ends with the local moment (μB).
Fractional positions:
Re  0.0000  0.0000  0.8468  -0.13
Re  0.5000  0.5000  0.3468  -0.13
Re  0.5000  0.5000  0.6532  -0.13
Re  0.0000  0.0000  0.1532  -0.13
O  0.2978  0.2978  0.1674  -0.01
O  0.7022  0.7022  0.8326  -0.01
O  0.2978  0.2978  0.8326  -0.01
O  0.2277  0.7723  0.0000  -0.07
O  0.7978  0.2022  0.3326  -0.01
O  0.2022  0.7978  0.3326  -0.01
O  0.7022  0.7022  0.1674  -0.01
O  0.2022  0.7978  0.6674  -0.01
O  0.7277  0.7277  0.5000  -0.07
O  0.2723  0.2723  0.5000  -0.07
O  0.7978  0.2022  0.6674  -0.01
O  0.7723  0.2277  0.0000  -0.07
Fe  0.0000  0.0000  0.5000  -0.72
Fe  0.5000  0.5000  0.0000  -0.72

## Properties
V	10.0	Å³/atom
space-group type	P4_2/mnm (136)
formation energy from raw total energies	-1.561	eV per atom
E	-23.5292	eV/atom



Below is a crystal of CaTl2In relaxed with PBEsol, with properties calculated at the meta-GGA SCAN level.

abc: 3.6948 5.4767 5.7945
angles: 101.43 90.00 109.71
Fractional positions:
In  0.0000  0.0000  0.5000
Tl  0.2546  0.5092  0.2610
Tl  0.7454  0.4908  0.7390
Ca  0.5000  0.0000  0.0000

## Properties
V	27.0	Å³/atom
space-group type	C2/m (12)
E	-47.2430	eV/atom



Below is a crystal of Sc2Al2Hg relaxed with PBEsol, with properties calculated at the meta-GGA SCAN level.

abc: 4.3278 6.7195 6.7195
angles: 90.00 90.00 90.00
Fractional positions:
Sc  0.5000  0.6656  0.8344
Sc  0.5000  0.1656  0.6656
Sc  0.5000  0.8344  0.3344
Sc  0.5000  0.3344  0.1656
Al  0.0000  0.6341  0.1341
Al  0.0000  0.3659  0.8659
Al  0.0000  0.8659  0.6341
Al  0.0000  0.1341  0.3659
Hg  0.0000  0.5000  0.5000
Hg  0.0000  0.0000  0.0000

## Properties
V	19.5	Å³/atom
space-group type	P4/mbm (127)
E	-22.9758	eV/atom



Below is a crystal of Mn2PRh relaxed with PBEsol, with properties calculated at the meta-GGA SCAN level.

abc: 2.6402 2.6402 7.7621
angles: 80.21 80.21 60.00
Each line ends with the local moment (μB).
Fractional positions:
P  0.4953  0.4953  0.5141  0.00
Mn  0.7534  0.7534  0.7397  -2.29
Mn  0.0053  0.0053  0.9842  3.05
Rh  0.2460  0.2460  0.2620  0.02

## Properties
V	11.5	Å³/atom
space-group type	R3m (160)
E	-20.2730	eV/atom



Below is a crystal of Li2TaTc relaxed with PBEsol, with properties calculated at the meta-GGA SCAN level.

abc: 3.0809 4.0532 5.4819
angles: 111.70 106.32 90.00
Fractional positions:
Li  0.7405  0.7405  0.4810
Li  0.2595  0.2595  0.5190
Tc  0.0000  0.5000  0.0000
Ta  0.5000  0.0000  0.0000

## Properties
V	15.2	Å³/atom
space-group type	Immm (71)
E	-26.4253	eV/atom



Below is a crystal of Li2Tl3 relaxed with PBEsol, with properties calculated at the meta-GGA SCAN level.

abc: 3.3651 3.3651 11.9071
angles: 81.88 81.88 60.00
Fractional positions:
Li  0.3984  0.3984  0.8049
Li  0.6016  0.6016  0.1951
Tl  0.0000  0.0000  0.0000
Tl  0.7955  0.7955  0.6136
Tl  0.2045  0.2045  0.3864

## Properties
V	23.0	Å³/atom
space-group type	R-3m (166)
E	-44.5435	eV/atom



Below is a crystal of ZrZn2GeIr relaxed with PBEsol, with properties calculated at the meta-GGA SCAN level.

abc: 4.8094 4.8094 4.9110
angles: 90.00 90.00 90.00
Fractional positions:
Zn  0.5000  0.0000  0.0000
Zn  0.0000  0.5000  0.0000
Zr  0.0000  0.0000  0.0000
Ir  0.5000  0.5000  0.5000
Ge  0.0000  0.0000  0.5000

## Properties
V	22.7	Å³/atom
space-group type	P4/mmm (123)
E	-27.8285	eV/atom